{"formula": "ScZn", "functional": "PBE", "state": "relaxed", "delta_e_f_ev_per_atom": -0.2010, "total_energy_ev_per_atom": -4.00, "lattice_angstrom": [[-5.7128, 8.5376, 0.4248], [-4.5277, -3.1639, 2.6986], [1.8340, 1.0149, 4.2671]], "species": ["Sc", "Sc", "Sc", "Sc", "Sc", "Sc", "Sc", "Sc", "Zn", "Zn", "Zn", "Zn", "Zn", "Zn", "Zn", "Zn"], "frac_coords": [[0.7460, 0.2585, 0.0000], [0.0380, 0.5000, 0.0000], [0.4741, 0.5000, 0.0000], [0.7460, 0.7415, 0.0000], [0.1926, 0.0000, 0.5000], [0.6286, 0.0000, 0.5000], [0.9207, 0.2415, 0.5000], [0.9207, 0.7585, 0.5000], [0.0133, 0.0000, 0.0000], [0.4720, 0.0000, 0.0000], [0.2516, 0.2323, 0.0000], [0.2516, 0.7677, 0.0000], [0.4151, 0.2677, 0.5000], [0.1946, 0.5000, 0.5000], [0.6534, 0.5000, 0.5000], [0.4151, 0.7323, 0.5000]]}

---

{"formula": "Li4AgSn2Au", "functional": "PBE", "state": "relaxed", "total_energy_ev_per_atom": -3.16, "lattice_angstrom": [[-0.1312, 4.6054, -0.0878], [-4.5357, -0.1139, 0.8057], [1.1348, 0.1545, 6.4104]], "species": ["Ag", "Au", "Li", "Li", "Li", "Li", "Sn", "Sn"], "frac_coords": [[0.0000, 0.0000, 0.0000], [0.5000, 0.5000, 0.5000], [0.5000, 0.5000, 0.0000], [0.5000, 0.0000, 0.2507], [0.0000, 0.0000, 0.5000], [0.0000, 0.5000, 0.7493], [0.0000, 0.5000, 0.2504], [0.5000, 0.0000, 0.7496]]}

---

{"formula": "Zr2Tl", "functional": "PBE", "state": "relaxed", "total_energy_ev_per_atom": -6.43, "lattice_angstrom": [[5.5238, 0.0000, 0.0000], [0.0000, 9.6402, 0.0000], [0.0000, 0.0000, 5.2430]], "species": ["Tl", "Tl", "Tl", "Tl", "Zr", "Zr", "Zr", "Zr", "Zr", "Zr", "Zr", "Zr"], "frac_coords": [[0.9886, 0.6677, 0.0000], [0.9886, 0.9989, 0.0000], [0.8447, 0.1677, 0.5000], [0.8447, 0.4989, 0.5000], [0.5020, 0.1595, 0.0000], [0.0251, 0.3333, 0.0000], [0.5020, 0.5071, 0.0000], [0.4619, 0.8333, 0.0000], [0.3313, 0.0071, 0.5000], [0.3714, 0.3333, 0.5000], [0.3313, 0.6595, 0.5000], [0.8082, 0.8333, 0.5000]]}